[1]
Crystalline RbPaHSe3 at its relaxed geometry, computed with PBE.

The structure in POSCAR format:
```
RbPaHSe3
1.0
9.431 0.000 0.000
0.000 3.966 0.000
-2.284 0.000 9.575
Rb Pa H Se
2 2 2 6
direct
0.176 0.250 0.253
0.824 0.750 0.747
0.329 0.750 0.836
0.671 0.250 0.164
0.273 0.250 0.612
0.727 0.750 0.388
0.136 0.250 0.883
0.259 0.750 0.558
0.444 0.750 0.140
0.556 0.250 0.860
0.741 0.250 0.442
0.864 0.750 0.117
```

Computed properties:
The total energy is -4.997 eV/atom. As for the mass density: 5.14 g/cm³. As for the symmetry: P2_1/m, No. 11.

[2]
Crystalline Rb2PaH2Se4 at its relaxed geometry, computed with PBE.

The structure in POSCAR format:
```
Rb2PaH2Se4
1.0
9.120 -1.932 0.000
9.120 1.932 0.000
-3.244 0.000 6.976
Rb Pa H Se
2 1 2 4
direct
0.147 0.147 0.146
0.853 0.853 0.854
0.000 0.000 0.500
0.329 0.329 0.328
0.671 0.671 0.672
0.174 0.174 0.675
0.500 0.500 0.239
0.500 0.500 0.761
0.826 0.826 0.325
```

Computed properties:
The total energy is -4.399 eV/atom. As for the mass density: 4.86 g/cm³. As for the symmetry: C2/m, No. 12.

[3]
Crystalline PaReH6 at its relaxed geometry, computed with PBE.

The structure in POSCAR format:
```
PaReH6
1.0
2.204 1.272 3.726
-2.204 1.272 3.726
0.000 -2.544 3.726
Pa Re H
1 1 6
direct
0.000 0.000 0.000
0.500 0.500 0.500
0.032 0.610 0.610
0.390 0.390 0.968
0.390 0.968 0.390
0.610 0.032 0.610
0.610 0.610 0.032
0.968 0.390 0.390
```

Computed properties:
The total energy is -5.442 eV/atom. As for the mass density: 11.22 g/cm³. As for the symmetry: R-3m, No. 166.